No. 1
{
  "formula": "Ba2Al",
  "functional": "SCAN",
  "state": "single point on PBEsol structure",
  "lattice_angstrom": [[-3.328, 1.089, -2.863], [-3.829, -5.153, 2.491], [-0.596, 6.383, 6.691]],
  "species": ["Al", "Al", "Ba", "Ba", "Ba", "Ba"],
  "fractional_positions": [[0.736, 0.890, 0.472], [0.264, 0.110, 0.528], [0.659, 0.326, 0.317], [0.341, 0.674, 0.683], [0.086, 0.795, 0.172], [0.914, 0.205, 0.828]],
  "crystal_system": "monoclinic",
  "e_form_ev_per_atom": -0.1085
}

---

No. 2
{
  "formula": "IrRu3",
  "functional": "SCAN",
  "state": "single point on PBEsol structure",
  "lattice_angstrom": [[-1.171, 2.405, 0.343], [0.675, -1.489, 2.145], [7.690, 3.723, 0.165]],
  "species": ["Ru", "Ru", "Ru", "Ir"],
  "fractional_positions": [[0.000, 0.000, 0.500], [0.667, 0.333, 0.255], [0.667, 0.333, 0.745], [0.000, 0.000, 0.000]],
  "crystal_system": "hexagonal",
  "e_form_ev_per_atom": -0.0386
}

---

No. 3
{
  "formula": "Tc2GeOsCl",
  "functional": "SCAN",
  "state": "single point on PBEsol structure",
  "lattice_angstrom": [[-2.690, 3.541, 0.348], [-1.547, -0.754, -4.285], [-3.343, -2.705, 1.683]],
  "species": ["Ge", "Os", "Tc", "Tc", "Cl"],
  "fractional_positions": [[0.000, 0.000, 0.000], [0.500, 0.500, 0.500], [0.000, 0.000, 0.500], [0.000, 0.500, 0.000], [0.500, 0.000, 0.000]],
  "crystal_system": "tetragonal",
  "formation_energy_uncorrected_ev_per_atom": 2.070
}